[1]
Entry from Alexandria: KCoOs2 after structural relaxation (PBE-GGA).

POSCAR file:
```
KCoOs2
1.0
-4.241 -0.074 -4.000
-0.754 -1.356 5.620
-1.537 1.942 0.816
Co K Os
1 1 2
Direct
0.500 0.000 0.500 Co
0.000 0.500 0.500 K
0.000 0.000 0.000 Os
0.500 0.500 0.000 Os
```

- space-group type = C2/m (12)

=====

[2]
Entry from Alexandria: KCoOs2 after structural relaxation (PBE-GGA).

POSCAR file:
```
KCoOs2
1.0
5.604 0.015 0.000
-2.976 4.749 0.000
0.000 0.000 2.512
Co K Os
1 1 2
Direct
0.500 0.000 0.500 Co
0.000 0.500 0.500 K
0.000 0.000 0.000 Os
0.500 0.500 0.000 Os
```

- space-group type = Cmmm (65)

=====

[3]
Entry from Alexandria: KCoOs2 after structural relaxation (PBE-GGA).

POSCAR file:
```
KCoOs2
1.0
-2.526 -4.474 -0.694
1.057 -1.355 4.892
-2.152 1.096 0.769
Co K Os
1 1 2
Direct
0.500 0.000 0.500 Co
0.000 0.500 0.500 K
0.000 0.000 0.000 Os
0.500 0.500 0.000 Os
```

- space-group type = P4/mmm (123)

=====

[4]
Entry from Alexandria: KCo3Os after structural relaxation (PBE-GGA).

POSCAR file:
```
KCo3Os
1.0
-3.134 -0.838 -3.293
2.385 -3.734 -1.319
-2.421 -2.593 2.964
Co K Os
3 1 1
Direct
0.000 0.500 0.000 Co
0.000 0.000 0.500 Co
0.500 0.000 0.000 Co
0.500 0.500 0.500 K
0.000 0.000 0.000 Os
```

- space-group type = Pm-3m (221)

=====

[5]
Entry from Alexandria: KCoOs2 after structural relaxation (PBE-GGA).

POSCAR file:
```
KCoOs2
1.0
-1.180 1.056 2.148
-4.200 -1.662 -1.490
0.818 -4.418 2.621
Co K Os
1 1 2
Direct
0.500 0.000 0.500 Co
0.000 0.500 0.500 K
0.000 0.000 0.000 Os
0.500 0.500 0.000 Os
```

- space-group type = Pmmm (47)

=====

[6]
Entry from Alexandria: KCoOs2 after structural relaxation (PBE-GGA).

POSCAR file:
```
KCoOs2
1.0
-1.181 -2.336 0.575
1.835 0.897 1.735
-7.202 4.892 5.088
Co K Os
1 1 2
Direct
0.500 0.500 0.250 Co
0.500 0.500 0.750 K
0.000 0.000 0.042 Os
0.000 0.000 0.458 Os
```

- space-group type = Cmmm (65)

=====

[7]
Entry from Alexandria: KCoOs after structural relaxation (PBE-GGA).

POSCAR file:
```
KCoOs
1.0
4.618 0.000 0.000
2.309 3.999 0.000
2.309 1.333 3.771
Co K Os
1 1 1
Direct
0.500 0.500 0.500 Co
0.750 0.750 0.750 K
0.000 0.000 0.000 Os
```

- space-group type = F-43m (216)

=====

[8]
Entry from Alexandria: KCoOs after structural relaxation (PBE-GGA).

POSCAR file:
```
KCoOs
1.0
-2.593 0.717 2.786
2.253 -3.144 0.213
3.837 2.940 2.815
Co K Os
1 1 1
Direct
0.000 0.000 0.000 Co
0.667 0.333 0.500 K
0.333 0.667 0.000 Os
```

- space-group type = P-6m2 (187)

=====

[9]
Entry from Alexandria: KCoOs2 after structural relaxation (PBE-GGA).

POSCAR file:
```
KCoOs2
1.0
-0.050 2.209 -1.584
-3.349 0.901 1.363
3.398 4.114 5.628
Co K Os
1 1 2
Direct
0.000 0.000 0.415 Co
0.500 0.500 0.744 K
0.000 0.000 0.096 Os
0.500 0.500 0.245 Os
```

- space-group type = Pmm2 (25)

=====

[10]
Entry from Alexandria: KCoOs after structural relaxation (PBE-GGA).

POSCAR file:
```
KCoOs
1.0
-5.832 8.192 -9.270
2.767 -3.961 -5.241
-2.127 -1.501 0.011
Co K Os
4 4 4
Direct
0.000 0.000 0.000 Co
0.500 0.500 0.500 Co
0.500 0.000 0.500 Co
0.000 0.500 0.000 Co
0.678 0.250 0.000 K
0.822 0.750 0.500 K
0.322 0.750 0.000 K
0.178 0.250 0.500 K
0.422 0.250 0.000 Os
0.078 0.750 0.500 Os
0.578 0.750 0.000 Os
0.922 0.250 0.500 Os
```

- space-group type = Cmcm (63)

=====

[11]
Entry from Alexandria: KCoOs2 after structural relaxation (PBE-GGA).

POSCAR file:
```
KCoOs2
1.0
-1.577 -2.163 4.060
3.499 -0.918 0.870
0.379 3.203 1.854
Co K Os
1 1 2
Direct
0.500 0.500 0.000 Co
0.500 0.000 0.500 K
0.000 0.000 0.000 Os
0.000 0.500 0.500 Os
```

- space-group type = P4/mmm (123)

=====

[12]
Entry from Alexandria: KCoOs after structural relaxation (PBE-GGA).

POSCAR file:
```
KCoOs
1.0
4.338 0.000 0.000
0.000 4.338 0.000
0.000 0.000 7.610
Co K Os
2 2 2
Direct
0.000 0.000 0.500 Co
0.500 0.500 0.500 Co
0.000 0.500 0.154 K
0.500 0.000 0.846 K
0.000 0.500 0.613 Os
0.500 0.000 0.387 Os
```

- space-group type = P4/nmm (129)

=====

| no. | total energy (eV/cell) | mass density (Mg/m³) |
| --- | --- | --- |
| 1 | -25.12 | 12.084 |
| 2 | -24.74 | 11.864 |
| 3 | -23.34 | 11.660 |
| 4 | -27.29 | 6.826 |
| 5 | -25.13 | 12.035 |
| 6 | -26.96 | 12.318 |
| 7 | -10.56 | 6.874 |
| 8 | -16.27 | 6.586 |
| 9 | -27.50 | 10.112 |
| 10 | -68.03 | 7.544 |
| 11 | -23.74 | 11.804 |
| 12 | -33.37 | 6.684 |